No. 1
Here is crystalline YGeMo3 at its relaxed geometry from the Alexandria database. Energies are from PBEsol.

Output
Formation energy (kJ/mol of atoms): 89.6

Cell: 4.6562 4.6562 4.6562 Å, 90.00 90.00 90.00°
Fractional coordinates of all 5 atoms:
Y 0.0000 0.0000 0.0000
Ge 0.5000 0.5000 0.5000
Mo 0.0000 0.5000 0.5000
Mo 0.5000 0.0000 0.5000
Mo 0.5000 0.5000 0.0000

No. 2
Here is crystalline YGe3Mo at its relaxed geometry from the Alexandria database. Energies are from PBEsol.

Output
Formation energy (kJ/mol of atoms): 143.5

Cell: 5.1593 5.1593 5.1593 Å, 90.00 90.00 90.00°
Fractional coordinates of all 5 atoms:
Y 0.0000 0.0000 0.0000
Ge 0.0000 0.0000 0.5000
Ge 0.0000 0.5000 0.0000
Ge 0.5000 0.0000 0.0000
Mo 0.5000 0.5000 0.5000